Entry from Alexandria: an optimized crystal structure of K2FeH4S2O10 (GGA+U).

Computed properties:
electronic total energy = -5.665 eV per atom
energy above the lowest structure with this stoichiometry = 1 meV/atom
SG = No. 2

POSCAR file:
```
K2FeH4S2O10
1.0
9.733 0.043 0.193
-2.581 9.214 -0.248
1.479 -3.587 10.626
K Fe H S O
8 4 16 8 40
direct
0.668 0.753 0.431
0.918 0.503 0.681
0.168 0.253 0.931
0.418 0.003 0.181
0.082 0.497 0.319
0.332 0.247 0.569
0.582 0.997 0.819
0.832 0.747 0.069
0.375 0.625 0.875
0.625 0.375 0.125
0.875 0.125 0.375
0.125 0.875 0.625
0.661 0.113 0.556
0.911 0.863 0.806
0.161 0.613 0.057
0.411 0.363 0.306
0.089 0.137 0.194
0.339 0.887 0.444
0.589 0.637 0.694
0.839 0.387 0.944
0.613 0.117 0.433
0.863 0.867 0.683
0.113 0.617 0.933
0.363 0.367 0.183
0.137 0.133 0.317
0.387 0.883 0.567
0.637 0.633 0.817
0.887 0.383 0.067
0.054 0.855 0.332
0.304 0.605 0.582
0.554 0.355 0.832
0.804 0.105 0.082
0.696 0.395 0.418
0.946 0.145 0.668
0.196 0.895 0.918
0.446 0.645 0.168
0.782 0.047 0.192
0.032 0.796 0.442
0.282 0.547 0.692
0.532 0.296 0.942
0.968 0.204 0.558
0.218 0.953 0.808
0.468 0.704 0.058
0.718 0.453 0.308
0.326 0.478 0.463
0.575 0.228 0.713
0.826 0.979 0.963
0.076 0.728 0.213
0.425 0.772 0.287
0.674 0.521 0.537
0.925 0.272 0.787
0.174 0.022 0.037
0.178 0.991 0.353
0.428 0.741 0.603
0.678 0.491 0.853
0.928 0.241 0.103
0.572 0.259 0.397
0.822 0.009 0.647
0.072 0.759 0.897
0.322 0.509 0.147
0.920 0.902 0.324
0.170 0.652 0.574
0.420 0.402 0.824
0.670 0.152 0.074
0.830 0.348 0.426
0.080 0.098 0.676
0.330 0.848 0.926
0.580 0.598 0.176
0.666 0.061 0.463
0.916 0.811 0.713
0.166 0.561 0.963
0.416 0.311 0.213
0.084 0.189 0.287
0.334 0.939 0.537
0.584 0.689 0.787
0.834 0.439 0.037
```